Here is a geometry-optimized Mg30FeCoO32 structure from the Alexandria database. Energies are from GGA-PBEsol.

Results
- Total magnetic moment: 7.00 μB per formula unit
- E: -6.299 eV per atom
- ρ: 3.75 g/cm3
- SG: P4/mmm, No. 123
- Formation energy from raw total energies: -166.93 eV per formula unit
- Fermi-level density of states: 0.263 states/eV per atom

Geometry as POSCAR:
```
Mg30FeCoO32
1.0
-5.5967 -4.5275 4.4095
5.3602 -0.2843 6.5115
-3.3437 7.1168 3.0632
Mg Fe Co O
30 1 1 32
Cartesian
2.6801 -0.1421 3.2557
-1.6719 3.5584 1.5316
-2.7983 -2.2637 2.2047
-0.1182 -2.4059 5.4605
-4.4702 1.2946 3.7364
-1.7901 1.1525 6.9921
0.5080 1.7212 2.4120
3.1676 1.5801 5.6428
-1.1511 5.2524 3.9319
1.5085 5.1113 7.1628
-2.2934 -0.5529 4.6022
0.3825 -0.6948 7.8528
-3.9626 2.9998 6.1314
-1.2868 2.8579 9.3820
-0.0568 -1.2039 2.7352
2.6166 -1.3457 5.9827
-1.7176 2.3602 4.2655
0.9484 2.2188 7.5041
-2.8530 -3.4660 4.9383
-0.1797 -3.6078 8.1858
-4.5286 0.0862 6.4801
-1.8625 -0.0551 9.7188
-2.2382 0.6510 1.8709
0.4469 0.5196 5.1230
-3.9059 4.2004 3.3987
-1.2162 4.0593 6.6466
-5.0345 -1.6111 4.0740
-2.3640 -1.7543 7.3377
-6.7022 1.9383 5.6018
-4.0271 1.7854 8.8612
0.0000 0.0000 0.0000
1.0082 3.4163 4.7874
-1.4077 -1.1388 1.1091
1.2807 -1.2742 4.3583
-3.0712 2.4264 2.6341
-0.4126 2.2668 5.9068
-4.1890 -3.3887 3.3004
-1.5172 -3.5376 6.5627
-5.8692 0.1629 4.8386
-3.1676 0.0382 8.0774
-0.8923 0.5776 3.4921
1.7896 0.4354 6.7499
-2.5653 4.1383 5.0247
0.1166 3.9961 8.2826
-3.6968 -1.6911 5.7016
-1.0149 -1.8333 8.9595
-5.3698 1.8696 7.2343
-2.6879 1.7274 10.4922
1.3406 -0.0711 1.6285
4.0197 -0.2132 4.8830
-0.3565 3.4886 3.1295
2.3730 3.3439 6.4453
-1.4600 -2.3347 3.8306
1.2235 -2.4770 7.0904
-3.1322 1.2237 5.3618
-0.4480 1.0813 8.6224
-0.8362 1.7799 0.7661
1.8596 1.6042 4.0074
-2.5075 5.3369 2.2971
0.1569 5.2283 5.5673
-3.6332 -0.4868 2.9696
-0.9529 -0.6294 6.2251
-5.3072 3.0761 4.5031
-2.6273 2.9344 7.7591
```

***

Here is a geometry-optimized MnFeCo2 structure from the Alexandria database. Energies are from GGA-PBEsol.

Results
- Total magnetic moment: 0.76 μB per formula unit
- Energy above the most stable polymorph in this dataset: 0.0 meV/atom
- E_form: -0.001 eV/atom
- E: -8.550 eV per atom
- ρ: 9.11 g/cm3
- SG: P4/mmm, No. 123
- Fermi-level density of states: 0.752 states/eV per atom

Geometry as POSCAR:
```
MnFeCo2
1.0
3.4965 0.0000 0.0000
0.0000 3.4965 0.0000
0.0000 0.0000 3.4102
Co Fe Mn
2 1 1
Cartesian
0.0000 1.7482 0.0000
1.7482 0.0000 0.0000
1.7482 1.7482 1.7051
0.0000 0.0000 1.7051
```

***

Here is a geometry-optimized MnFeCo2 structure from the Alexandria database. Energies are from GGA-PBEsol.

Results
- Total magnetic moment: 2.90 μB per formula unit
- Energy above the most stable polymorph in this dataset: 44.1 meV/atom
- E_form: 0.044 eV/atom
- E: -8.506 eV per atom
- ρ: 9.36 g/cm3
- SG: P4/mmm, No. 123
- Fermi-level density of states: 1.261 states/eV per atom

Geometry as POSCAR:
```
MnFeCo2
1.0
2.4270 0.0000 0.0000
0.0000 2.4270 0.0000
0.0000 0.0000 6.8875
Co Fe Mn
2 1 1
Cartesian
0.0000 0.0000 5.1210
0.0000 0.0000 1.7665
1.2135 1.2135 0.0000
1.2135 1.2135 3.4437
```